(1)
First-principles (PBE) data for an optimized crystal structure of Pm2Tm2Tl5, as listed in the Alexandria database.

The structure belongs to space group Ima2 (No. 46); the cell edges are 15.264, 7.197 and 9.786 Å and the angles 90.00°, 90.00° and 90.00°. The distinct sites, in fractional coordinates, are Pm at (0.129, 0.036, 0.000), Tm at (0.000, 0.000, 0.435), Tm at (0.250, 0.521, 0.061), Tl at (0.043, 0.195, 0.714), Tl at (0.152, 0.709, 0.779) and Tl at (0.250, 0.204, 0.282).

The calculation puts the formation energy at -0.1500 eV per atom. For the total magnetization, the calculation gives 0.00 μB per cell. For the total energy, the calculation gives -0.258 Ry/atom. The mass density comes out at 10.19 g/cm3.

(2)
First-principles (PBE) data for an optimized crystal structure of La2Sm4Cd, as listed in the Alexandria database.

The structure belongs to space group C2/m (No. 12); the cell edges are 17.192, 3.553 and 8.706 Å and the angles 90.00°, 117.66° and 90.00°. The distinct sites, in fractional coordinates, are La at (0.218, 0.000, 0.143), Sm at (0.079, 0.000, 0.702), Sm at (0.125, 0.500, 0.388) and Cd at (0.000, 0.000, 0.000).

The calculation puts the formation energy at 0.0410 eV per atom. For the total magnetization, the calculation gives 0.00 μB per cell. For the total energy, the calculation gives -0.308 Ry/atom. The mass density comes out at 6.99 g/cm3.

(3)
First-principles (PBE) data for an optimized crystal structure of La14DyTh, as listed in the Alexandria database.

The structure belongs to space group P4/mmm (No. 123); the cell edges are 7.376, 7.376 and 10.527 Å and the angles 90.00°, 90.00° and 90.00°. The distinct sites, in fractional coordinates, are La at (0.000, 0.000, 0.000), La at (0.000, 0.500, 0.000), La at (0.000, 0.500, 0.500), La at (0.245, 0.245, 0.255), La at (0.500, 0.500, 0.000), Dy at (0.500, 0.500, 0.500) and Th at (0.000, 0.000, 0.500).

The calculation puts the formation energy at 0.0147 eV per atom. For the total magnetization, the calculation gives 0.00 μB per cell. For the total energy, the calculation gives -0.371 Ry/atom. The mass density comes out at 6.78 g/cm3.

(4)
First-principles (PBE) data for an optimized crystal structure of KCoPt2, as listed in the Alexandria database.

The structure belongs to space group P4/mmm (No. 123); the cell edges are 5.112, 5.112 and 2.732 Å and the angles 90.00°, 90.00° and 90.00°. The distinct sites, in fractional coordinates, are K at (0.000, 0.000, 0.000), Co at (0.500, 0.500, 0.000) and Pt at (0.000, 0.500, 0.500).

The calculation puts the formation energy at 0.6131 eV per atom. For the total magnetization, the calculation gives 2.50 μB per cell. For the total energy, the calculation gives -0.328 Ry/atom. The calculation puts the energy relative to the lowest polymorph listed for this composition at 508.6 meV per atom. The mass density comes out at 11.35 g/cm3.

(5)
First-principles (PBE) data for an optimized crystal structure of MnSiSe2N, as listed in the Alexandria database.

The structure belongs to space group P4/mmm (No. 123); the cell edges are 4.971, 4.971 and 3.475 Å and the angles 90.00°, 90.00° and 90.00°. The distinct sites, in fractional coordinates, are Mn at (0.000, 0.000, 0.000), Si at (0.500, 0.500, 0.500), Se at (0.000, 0.500, 0.000) and N at (0.000, 0.000, 0.500).

For the total magnetization, the calculation gives 1.74 μB per cell. For the total energy, the calculation gives -0.415 Ry/atom. The calculation puts the energy relative to the lowest polymorph listed for this composition at 105.5 meV per atom. Its formation energy (no corrections) is 0.334 eV per atom. The mass density comes out at 4.93 g/cm3.

(6)
First-principles (PBE) data for an optimized crystal structure of Nd8SnS6, as listed in the Alexandria database.

The structure belongs to space group P-3 (No. 147); the cell edges are 10.6018, 10.6018 and 4.1092 Å and the angles 90.00°, 90.00° and 120.00°. The distinct sites, in fractional coordinates, are Nd at (0.0345, 0.3368, 0.2478), Nd at (0.3333, 0.6667, 0.7507), Sn at (0.0000, 0.0000, 0.0000) and S at (0.1366, 0.6534, 0.2501).

For the total magnetization, the calculation gives 0.00 μB per cell. For the total energy, the calculation gives -0.444 Ry/atom. Its formation energy (no corrections) is -1.577 eV per atom. The mass density comes out at 6.08 g/cm3.

(7)
First-principles (PBE) data for an optimized crystal structure of AcPm4Er2, as listed in the Alexandria database.

The structure belongs to space group Imma (No. 74); the cell edges are 7.014, 11.716 and 12.135 Å and the angles 90.00°, 90.00° and 90.00°. The distinct sites, in fractional coordinates, are Ac at (0.000, 0.000, 0.000), Pm at (0.000, 0.008, 0.354), Pm at (0.215, 0.250, 0.512), Er at (0.000, 0.250, 0.777) and Er at (0.250, 0.250, 0.250).

The calculation puts the formation energy at 0.2225 eV per atom. For the total magnetization, the calculation gives 0.00 μB per cell. For the total energy, the calculation gives -0.322 Ry/atom. The calculation puts the energy relative to the lowest polymorph listed for this composition at 0.0 meV per atom. The mass density comes out at 7.60 g/cm3.

(8)
First-principles (PBE) data for an optimized crystal structure of POs2Pt, as listed in the Alexandria database.

The structure belongs to space group Imm2 (No. 44); the cell edges are 2.935, 4.258 and 9.073 Å and the angles 90.00°, 90.00° and 90.00°. The distinct sites, in fractional coordinates, are P at (0.000, 0.000, 0.000), Os at (0.000, 0.000, 0.486), Os at (0.000, 0.500, 0.703) and Pt at (0.000, 0.500, 0.287).

The calculation puts the formation energy at 0.2558 eV per atom. For the total magnetization, the calculation gives 0.00 μB per cell. For the total energy, the calculation gives -0.604 Ry/atom. The mass density comes out at 17.76 g/cm3.